*one*
Tm4ZnAg3: relaxed, PBE.

crystal system = orthorhombic

Cell and atoms, written as CIF:
```
data_Tm4ZnAg3
_cell_length_a 3.609
_cell_length_b 4.730
_cell_length_c 10.987
_cell_angle_alpha 90.00
_cell_angle_beta 90.00
_cell_angle_gamma 90.00
_space_group_name_H-M_alt 'P m m 2'
_space_group_IT_number 25
loop_
_space_group_symop_operation_xyz
'x,y,z'
'-x,-y,z'
'-x,y,z'
'x,-y,z'
loop_
_atom_site_label
_atom_site_fract_x
_atom_site_fract_y
_atom_site_fract_z
Tm1 0.000 0.000 0.000
Tm2 0.000 0.500 0.291
Tm3 0.500 0.000 0.496
Tm4 0.500 0.500 0.791
Zn1 0.500 0.000 0.224
Ag1 0.000 0.000 0.726
Ag2 0.000 0.500 0.565
Ag3 0.500 0.500 0.069
```

***

*two*
Tm4ZnAg3: relaxed, PBE.

crystal system = tetragonal

Cell and atoms, written as CIF:
```
data_Tm4ZnAg3
_cell_length_a 3.558
_cell_length_b 3.558
_cell_length_c 14.352
_cell_angle_alpha 90.00
_cell_angle_beta 90.00
_cell_angle_gamma 90.00
_space_group_name_H-M_alt 'P 4/m m m'
_space_group_IT_number 123
_space_group_name_Hall '-P 4 2'
loop_
_atom_site_label
_atom_site_fract_x
_atom_site_fract_y
_atom_site_fract_z
Tm1 0.000 0.000 0.120
Tm2 0.000 0.000 0.373
Zn1 0.500 0.500 0.000
Ag1 0.500 0.500 0.246
Ag2 0.500 0.500 0.500
```

***

Q: Which of them is the least stable? A: *one*.